No. 1
This record from the Alexandria database describes an optimized crystal structure of In2SbPb. The functional is PBEsol.

Calculated values
uncorrected formation energy = 0.026 eV per atom
space-group type = P4mm
total energy = -0.2649 Ry/atom
density = 8.6 g/cm3
crystal system = tetragonal
magnetization = 0.000 μB/atom

Geometry as CIF:
```
data_In2SbPb
_chemical_formula_sum 'In2 Sb1 Pb1'
_cell_length_a 3.9345
_cell_length_b 3.9345
_cell_length_c 6.9707
_cell_angle_alpha 90.00
_cell_angle_beta 90.00
_cell_angle_gamma 90.00
_symmetry_space_group_name_H-M 'P 1'
_symmetry_Int_Tables_number 1
loop_
_symmetry_equiv_pos_as_xyz
'x,y,z'
loop_
_atom_site_label
_atom_site_type_symbol
_atom_site_fract_x
_atom_site_fract_y
_atom_site_fract_z
In1 In 0.0000 0.0000 0.9910
In2 In 0.5000 0.5000 0.2356
Pb1 Pb 0.0000 0.0000 0.5039
Sb1 Sb 0.5000 0.5000 0.7694
```

No. 2
This record from the Alexandria database describes an optimized crystal structure of InSbPb2. The functional is PBEsol.

Calculated values
uncorrected formation energy = 0.028 eV per atom
space-group type = P4/mmm
total energy = -0.2835 Ry/atom
density = 9.6 g/cm3
crystal system = tetragonal
magnetization = 0.000 μB/atom

Geometry as CIF:
```
data_InSbPb2
_chemical_formula_sum 'In1 Sb1 Pb2'
_cell_length_a 4.7303
_cell_length_b 4.8832
_cell_length_c 4.8832
_cell_angle_alpha 90.00
_cell_angle_beta 90.00
_cell_angle_gamma 90.00
_symmetry_space_group_name_H-M 'P 1'
_symmetry_Int_Tables_number 1
loop_
_symmetry_equiv_pos_as_xyz
'x,y,z'
loop_
_atom_site_label
_atom_site_type_symbol
_atom_site_fract_x
_atom_site_fract_y
_atom_site_fract_z
Pb1 Pb 0.0000 0.0000 0.5000
Pb2 Pb 0.0000 0.5000 0.0000
Sb1 Sb 0.5000 0.5000 0.5000
In1 In 0.5000 0.0000 0.0000
```

No. 3
This record from the Alexandria database describes an optimized crystal structure of In2SbPb. The functional is PBEsol.

Calculated values
uncorrected formation energy = 0.027 eV per atom
space-group type = Pmmm
total energy = -0.2649 Ry/atom
density = 8.5 g/cm3
crystal system = orthorhombic
magnetization = 0.000 μB/atom

Geometry as CIF:
```
data_In2SbPb
_chemical_formula_sum 'In2 Sb1 Pb1'
_cell_length_a 4.7985
_cell_length_b 4.4202
_cell_length_c 5.1337
_cell_angle_alpha 90.00
_cell_angle_beta 90.00
_cell_angle_gamma 90.00
_symmetry_space_group_name_H-M 'P 1'
_symmetry_Int_Tables_number 1
loop_
_symmetry_equiv_pos_as_xyz
'x,y,z'
loop_
_atom_site_label
_atom_site_type_symbol
_atom_site_fract_x
_atom_site_fract_y
_atom_site_fract_z
Pb1 Pb 0.0000 0.5000 0.5000
Sb1 Sb 0.5000 0.0000 0.5000
In1 In 0.0000 0.0000 0.0000
In2 In 0.5000 0.5000 0.0000
```

No. 4
This record from the Alexandria database describes an optimized crystal structure of InSbPb2. The functional is PBEsol.

Calculated values
uncorrected formation energy = 0.026 eV per atom
space-group type = Imm2
total energy = -0.2836 Ry/atom
density = 9.6 g/cm3
crystal system = orthorhombic
magnetization = 0.000 μB/atom

Geometry as CIF:
```
data_InSbPb2
_chemical_formula_sum 'In1 Sb1 Pb2'
_cell_length_a 4.1449
_cell_length_b 5.1920
_cell_length_c 6.1914
_cell_angle_alpha 114.79
_cell_angle_beta 109.56
_cell_angle_gamma 90.00
_symmetry_space_group_name_H-M 'P 1'
_symmetry_Int_Tables_number 1
loop_
_symmetry_equiv_pos_as_xyz
'x,y,z'
loop_
_atom_site_label
_atom_site_type_symbol
_atom_site_fract_x
_atom_site_fract_y
_atom_site_fract_z
Pb1 Pb 0.9914 0.9914 0.9828
Pb2 Pb 0.7657 0.2657 0.5315
Sb1 Sb 0.5074 0.5074 0.0147
In1 In 0.2355 0.7355 0.4710
```

No. 5
This record from the Alexandria database describes an optimized crystal structure of ScIn2Pb. The functional is PBEsol.

Calculated values
space-group type = Pmm2
total energy = -0.3194 Ry/atom
density = 8.3 g/cm3
crystal system = orthorhombic
magnetization = 0.000 μB/atom
formation energy from the elements = -0.81 eV/f.u.

Geometry as CIF:
```
data_ScIn2Pb
_chemical_formula_sum 'Sc1 In2 Pb1'
_cell_length_a 3.5041
_cell_length_b 4.3199
_cell_length_c 6.3695
_cell_angle_alpha 90.00
_cell_angle_beta 90.00
_cell_angle_gamma 90.00
_symmetry_space_group_name_H-M 'P 1'
_symmetry_Int_Tables_number 1
loop_
_symmetry_equiv_pos_as_xyz
'x,y,z'
loop_
_atom_site_label
_atom_site_type_symbol
_atom_site_fract_x
_atom_site_fract_y
_atom_site_fract_z
In1 In 0.0000 0.0000 0.9971
In2 In 0.5000 0.5000 0.2393
Pb1 Pb 0.0000 0.0000 0.5138
Sc1 Sc 0.5000 0.5000 0.7497
```

No. 6
This record from the Alexandria database describes an optimized crystal structure of ScInPb. The functional is PBEsol.

Calculated values
space-group type = P3m1
total energy = -0.3443 Ry/atom
density = 8.4 g/cm3
crystal system = trigonal
magnetization = 0.000 μB/atom
formation energy from the elements = -0.47 eV/f.u.

Geometry as CIF:
```
data_ScInPb
_chemical_formula_sum 'Sc1 In1 Pb1'
_cell_length_a 3.2447
_cell_length_b 5.0893
_cell_length_c 5.0893
_cell_angle_alpha 120.00
_cell_angle_beta 90.00
_cell_angle_gamma 90.00
_symmetry_space_group_name_H-M 'P 1'
_symmetry_Int_Tables_number 1
loop_
_symmetry_equiv_pos_as_xyz
'x,y,z'
loop_
_atom_site_label
_atom_site_type_symbol
_atom_site_fract_x
_atom_site_fract_y
_atom_site_fract_z
In1 In 0.9425 0.0000 0.0000
Pb1 Pb 0.7246 0.3333 0.6667
Sc1 Sc 0.3329 0.6667 0.3333
```

No. 7
This record from the Alexandria database describes an optimized crystal structure of ScIn2Pb. The functional is PBEsol.

Calculated values
space-group type = I-4m2
total energy = -0.3237 Ry/atom
density = 8.5 g/cm3
crystal system = tetragonal
magnetization = 0.000 μB/atom
formation energy from the elements = -1.05 eV/f.u.

Geometry as CIF:
```
data_ScIn2Pb
_chemical_formula_sum 'Sc1 In2 Pb1'
_cell_length_a 4.3846
_cell_length_b 4.3846
_cell_length_c 5.7760
_cell_angle_alpha 112.31
_cell_angle_beta 112.31
_cell_angle_gamma 90.00
_symmetry_space_group_name_H-M 'P 1'
_symmetry_Int_Tables_number 1
loop_
_symmetry_equiv_pos_as_xyz
'x,y,z'
loop_
_atom_site_label
_atom_site_type_symbol
_atom_site_fract_x
_atom_site_fract_y
_atom_site_fract_z
Pb1 Pb 0.5000 0.5000 0.0000
Sc1 Sc 0.2500 0.7500 0.5000
In1 In 0.0000 0.0000 0.0000
In2 In 0.7500 0.2500 0.5000
```

No. 8
This record from the Alexandria database describes an optimized crystal structure of ScIn2Pb. The functional is PBEsol.

Calculated values
space-group type = I4/mmm
total energy = -0.3256 Ry/atom
density = 8.7 g/cm3
crystal system = tetragonal
magnetization = 0.000 μB/atom
formation energy from the elements = -1.15 eV/f.u.

Geometry as CIF:
```
data_ScIn2Pb
_chemical_formula_sum 'Sc1 In2 Pb1'
_cell_length_a 4.2759
_cell_length_b 4.2759
_cell_length_c 5.8902
_cell_angle_alpha 111.28
_cell_angle_beta 111.28
_cell_angle_gamma 90.00
_symmetry_space_group_name_H-M 'P 1'
_symmetry_Int_Tables_number 1
loop_
_symmetry_equiv_pos_as_xyz
'x,y,z'
loop_
_atom_site_label
_atom_site_type_symbol
_atom_site_fract_x
_atom_site_fract_y
_atom_site_fract_z
Pb1 Pb 0.0000 0.0000 0.0000
Sc1 Sc 0.5000 0.5000 0.0000
In1 In 0.7500 0.2500 0.5000
In2 In 0.2500 0.7500 0.5000
```